Record 1
12
Lattice="-2.735 -4.862 -5.480 7.290 -2.385 -1.521 -2.947 -1.580 8.452" Properties=species:S:1:pos:R:3 comment="Ca5Zn PBE relaxed" ef_ev_per_atom=0.011 relative_energy_mev_per_atom=88 pbc="T T T"
Ca -0.036 -6.368 -3.648
Ca -2.595 -4.928 1.931
Ca -2.465 -2.092 4.929
Ca 0.094 -3.532 -0.649
Ca 0.000 0.000 0.000
Ca 1.514 -5.295 2.100
Ca 4.073 -6.736 -3.478
Ca 1.644 -2.460 5.098
Ca 4.203 -3.900 -0.480
Ca 2.278 -3.624 -3.501
Zn -0.335 -2.602 2.476
Zn 1.943 -6.226 -1.025

---

Record 2
24
Lattice="5.940 -0.009 0.000 0.013 8.454 0.000 0.000 0.000 12.501" Properties=species:S:1:pos:R:3 comment="CaTh2Se3 PBE relaxed" e_form_raw_ev_per_atom=-1.6404 pbc="T T T"
Th 1.496 7.486 5.261
Th 4.457 0.959 7.240
Th 4.460 5.228 3.040
Th 1.489 3.259 0.989
Th 4.453 1.001 3.211
Th 1.500 7.444 9.291
Th 1.493 3.217 9.461
Th 4.464 5.186 11.512
Se 1.488 1.199 7.284
Se 1.494 5.426 11.468
Se 4.458 3.019 1.033
Se 4.465 7.432 1.000
Se 1.488 1.013 11.502
Se 1.483 1.092 3.081
Se 4.470 7.353 9.420
Se 1.495 5.240 7.250
Se 1.490 5.318 3.170
Se 4.458 3.205 5.251
Se 4.465 7.246 5.218
Se 4.463 3.126 9.332
Ca 1.488 3.161 5.176
Ca 1.495 7.388 1.074
Ca 4.458 1.057 11.427
Ca 4.465 5.284 7.325

---

Record 3
5
Lattice="-3.751 -0.762 -0.509 0.558 -0.203 -3.815 0.705 -3.671 0.298" Properties=species:S:1:pos:R:3 comment="CrNiHIr2 PBE relaxed" relative_energy_mev_per_atom=19 pbc="T T T"
H 0.000 0.000 0.000
Cr 0.353 -1.836 0.149
Ir 0.279 -0.101 -1.907
Ir -1.875 -0.381 -0.254
Ni -1.243 -2.318 -2.013

---

Record 4
4
Lattice="6.219 0.002 0.000 2.023 5.880 0.000 -4.121 -2.941 3.611" Properties=species:S:1:pos:R:3 comment="BaMg2Te PBE relaxed" e_form_raw_ev_per_atom=-0.4020 pbc="T T T"
Ba 3.109 0.001 1.806
Mg 0.000 0.000 0.000
Mg 1.012 2.940 1.806
Te 4.121 2.941 0.000

---

no.,total energy (Ha/atom)
1,-0.069
2,-0.227
3,-0.267
4,-0.091